# 1
Entry from Alexandria: a relaxed Tb6Nd5Mg2 crystal (PBE).

Output
- DOS at the Fermi energy (states/eV per atom) = 1.61
- calculated formation energy (kJ/mol of atoms) = 12.43
- space group = Pbam, No. 55

Cell lengths 10.5624, 22.6495, 3.5769 Å; angles 90.00, 90.00, 90.00 degrees
Fractional coordinates of all 26 atoms:
Tb (0.0188, 0.1136, 0.0000)
Tb (0.1444, 0.3817, 0.0000)
Tb (0.1686, 0.6346, 0.5000)
Tb (0.3314, 0.1346, 0.5000)
Tb (0.3556, 0.8817, 0.0000)
Tb (0.4812, 0.6136, 0.0000)
Tb (0.5188, 0.3864, 0.0000)
Tb (0.6444, 0.1183, 0.0000)
Tb (0.6686, 0.8654, 0.5000)
Tb (0.8314, 0.3654, 0.5000)
Tb (0.8556, 0.6183, 0.0000)
Tb (0.9812, 0.8864, 0.0000)
Nd (0.0000, 0.5000, 0.5000)
Nd (0.0812, 0.2487, 0.5000)
Nd (0.1675, 0.9944, 0.5000)
Nd (0.3325, 0.4944, 0.5000)
Nd (0.4188, 0.7487, 0.5000)
Nd (0.5000, 0.0000, 0.5000)
Nd (0.5812, 0.2513, 0.5000)
Nd (0.6675, 0.5056, 0.5000)
Nd (0.8325, 0.0056, 0.5000)
Nd (0.9188, 0.7513, 0.5000)
Mg (0.1685, 0.7616, 0.0000)
Mg (0.3315, 0.2616, 0.0000)
Mg (0.6685, 0.7384, 0.0000)
Mg (0.8315, 0.2384, 0.0000)

=====

# 2
Entry from Alexandria: a relaxed Na2CdHPb crystal (PBE).

Output
- DOS at the Fermi energy (states/eV per atom) = 0.47
- offset from the most stable computed form (kcal/mol of atoms) = 0.638
- space group = P4/mmm, No. 123

Cell lengths 4.7680, 4.7680, 4.8497 Å; angles 90.00, 90.00, 90.00 degrees
Fractional coordinates of all 5 atoms:
Na (0.0000, 0.5000, 0.0000)
Na (0.5000, 0.0000, 0.0000)
Cd (0.0000, 0.0000, 0.5000)
H (0.5000, 0.5000, 0.0000)
Pb (0.5000, 0.5000, 0.5000)

=====

# 3
Entry from Alexandria: a relaxed Ac8Os3SeI4 crystal (PBE).

Output
- DOS at the Fermi energy (states/eV per atom) = 0.62
- uncorrected energy (eV for the cell shown) = -89.28
- space group = R-3m, No. 166

Cell lengths 9.9523, 9.9523, 9.9523 Å; angles 53.46, 53.46, 53.46 degrees
Fractional coordinates of all 16 atoms:
Ac (0.2061, 0.7393, 0.7393)
Ac (0.2296, 0.2296, 0.2296)
Ac (0.2607, 0.2607, 0.7939)
Ac (0.2607, 0.7939, 0.2607)
Ac (0.7393, 0.2061, 0.7393)
Ac (0.7393, 0.7393, 0.2061)
Ac (0.7704, 0.7704, 0.7704)
Ac (0.7939, 0.2607, 0.2607)
Os (0.0000, 0.0000, 0.5000)
Os (0.0000, 0.5000, 0.0000)
Os (0.5000, 0.0000, 0.0000)
Se (0.5000, 0.5000, 0.5000)
I (0.0000, 0.0000, 0.0000)
I (0.0000, 0.5000, 0.5000)
I (0.5000, 0.0000, 0.5000)
I (0.5000, 0.5000, 0.0000)

=====

# 4
Entry from Alexandria: a relaxed TiS2N crystal (PBE).

Output
- DOS at the Fermi energy (states/eV per atom) = 0.23
- uncorrected energy (eV for the cell shown) = -23.09
- space group = R3m, No. 160

Cell lengths 8.7227, 8.7227, 8.7227 Å; angles 22.61, 22.61, 22.61 degrees
Fractional coordinates of all 4 atoms:
Ti (0.0000, 0.0000, 0.0000)
S (0.3890, 0.3890, 0.3890)
S (0.6109, 0.6109, 0.6109)
N (0.8322, 0.8322, 0.8322)